A relaxed ReB2AuI crystal. Source: the Alexandria database, functional GGA-PBE.

Results
Magnetic moment   3.120 μB/f.u.
ΔE_f (raw)   2912 meV/atom

Cell and atoms, written as CIF:
```
data_ReB2AuI
_chemical_formula_sum 'Re1 B2 Au1 I1'
_cell_length_a 4.332
_cell_length_b 4.332
_cell_length_c 5.331
_cell_angle_alpha 90.00
_cell_angle_beta 90.00
_cell_angle_gamma 90.00
_symmetry_space_group_name_H-M 'P 4/m m m'
_symmetry_Int_Tables_number 123
_symmetry_space_group_name_Hall '-P 4 2'
loop_
_atom_site_label
_atom_site_fract_x
_atom_site_fract_y
_atom_site_fract_z
Re1 0.000 0.000 0.000
B1 0.000 0.500 0.500
Au1 0.500 0.500 0.000
I1 0.500 0.500 0.500
```